--- one ---
Dy4AlIn3, optimized geometry, DFT PBE; SG = No. 123; total magnetization = 0.000 Bohr magnetons per cell; V = 206.27 Å³ per cell; calculated density = 8223 kg/m3
1.0
3.673 0.000 0.000
0.000 3.673 0.000
0.000 0.000 15.291
Dy In Al
4 3 1
direct
0.000 0.000 0.371 Dy
0.000 0.000 0.884 Dy
0.000 0.000 0.116 Dy
0.000 0.000 0.629 Dy
0.500 0.500 0.500 In
0.500 0.500 0.244 In
0.500 0.500 0.756 In
0.500 0.500 0.000 Al

***

--- two ---
Dy4AlIn3, optimized geometry, DFT PBE; SG = No. 25; total magnetization = 0.000 Bohr magnetons per cell; V = 218.76 Å³ per cell; calculated density = 7753 kg/m3
1.0
4.220 0.000 0.000
0.000 4.476 0.000
0.000 0.000 11.583
Dy In Al
4 3 1
direct
0.000 0.000 0.143 Dy
0.000 0.500 0.860 Dy
0.500 0.500 0.347 Dy
0.500 0.000 0.647 Dy
0.000 0.500 0.583 In
0.000 0.000 0.418 In
0.500 0.000 0.925 In
0.500 0.500 0.077 Al

***

Relative energies in meV per atom: one 0; two 46

***

--- one ---
Dy6Al2In, optimized geometry, DFT PBE; SG = No. 71; total magnetization = 0.000 Bohr magnetons per cell; V = 280.14 Å³ per cell; calculated density = 6780 kg/m3
1.0
5.086 0.000 -0.193
0.000 7.210 0.000
-2.252 -3.605 7.725
Dy Al In
6 2 1
direct
0.831 0.084 0.661 Dy
0.500 0.258 0.000 Dy
0.169 0.424 0.339 Dy
0.831 0.576 0.661 Dy
0.169 0.916 0.339 Dy
0.500 0.742 0.000 Dy
0.667 0.667 0.334 Al
0.333 0.333 0.666 Al
0.000 0.000 0.000 In

***

--- two ---
Dy6Al2In, optimized geometry, DFT PBE; SG = No. 71; total magnetization = 0.000 Bohr magnetons per cell; V = 505.75 Å³ per cell; calculated density = 7511 kg/m3
1.0
-3.703 2.703 -7.405
8.243 2.744 0.615
0.532 -8.679 0.491
Dy In Al
12 2 4
direct
0.798 0.757 0.555 Dy
0.291 0.970 0.679 Dy
0.798 0.243 0.041 Dy
0.709 0.389 0.679 Dy
0.202 0.243 0.445 Dy
0.291 0.611 0.321 Dy
0.090 0.275 0.815 Dy
0.460 0.275 0.185 Dy
0.910 0.725 0.185 Dy
0.709 0.030 0.321 Dy
0.202 0.757 0.959 Dy
0.540 0.725 0.815 Dy
0.000 0.500 0.500 In
0.000 0.000 0.000 In
0.358 0.000 0.358 Al
0.642 0.000 0.642 Al
0.500 0.378 0.878 Al
0.500 0.622 0.122 Al

***

Relative energies in meV per atom: one 253; two 0

***

--- one ---
Dy3AlIn, optimized geometry, DFT PBE; SG = No. 63; total magnetization = 0.000 Bohr magnetons per cell; V = 265.71 Å³ per cell; calculated density = 7865 kg/m3
1.0
-3.327 3.144 1.792
-2.900 -0.860 -3.876
-6.506 -6.659 6.346
Dy Al In
6 2 2
direct
0.074 0.750 0.500 Dy
0.264 0.750 0.121 Dy
0.574 0.250 0.500 Dy
0.764 0.250 0.121 Dy
0.385 0.250 0.879 Dy
0.885 0.750 0.879 Dy
0.669 0.750 0.310 Al
0.979 0.250 0.690 Al
0.169 0.250 0.310 In
0.479 0.750 0.690 In

***

--- two ---
Dy3AlIn, optimized geometry, DFT PBE; SG = No. 194; total magnetization = 0.003 Bohr magnetons per cell; V = 288.64 Å³ per cell; calculated density = 7241 kg/m3
1.0
5.189 0.000 0.000
0.000 8.014 0.000
0.000 -4.005 6.942
Dy Al In
6 2 2
direct
0.250 0.383 0.192 Dy
0.250 0.808 0.617 Dy
0.250 0.809 0.191 Dy
0.750 0.192 0.383 Dy
0.750 0.617 0.808 Dy
0.750 0.191 0.809 Dy
0.500 0.000 0.000 Al
0.000 0.000 0.000 Al
0.750 0.667 0.333 In
0.250 0.333 0.667 In

***

Relative energies in meV per atom: one 0; two 186

***

--- one ---
DyAlIn2, optimized geometry, DFT PBE; SG = No. 123; total magnetization = 0.000 Bohr magnetons per cell; V = 92.33 Å³ per cell; calculated density = 7538 kg/m3
1.0
-4.339 1.269 -0.609
0.529 -0.331 -4.456
-1.284 -4.309 0.167
Dy In Al
1 2 1
direct
0.500 0.500 0.500 Dy
0.000 0.500 0.000 In
0.000 0.000 0.500 In
0.500 0.000 0.000 Al

***

--- two ---
DyAlIn2, optimized geometry, DFT PBE; SG = No. 123; total magnetization = 0.083 Bohr magnetons per cell; V = 96.36 Å³ per cell; calculated density = 7222 kg/m3
1.0
3.749 0.000 0.000
0.000 3.749 0.000
0.000 0.000 6.857
Dy In Al
1 2 1
direct
0.500 0.500 0.500 Dy
0.000 0.000 0.781 In
0.000 0.000 0.219 In
0.500 0.500 0.000 Al

***

--- three ---
DyAlIn2, optimized geometry, DFT PBE; SG = No. 166; total magnetization = 0.000 Bohr magnetons per cell; V = 98.77 Å³ per cell; calculated density = 7046 kg/m3
1.0
-0.296 -1.727 -4.288
3.736 -0.056 -2.738
2.431 -5.408 -0.492
In Al Dy
2 1 1
direct
0.729 0.729 0.812 In
0.271 0.271 0.188 In
0.000 0.000 0.000 Al
0.500 0.500 0.500 Dy

***

Relative energies in meV per atom: one 0; two 192; three 225